Compound: CsBIr3
Source: Alexandria
Functional: GGA-PBE
Structure: relaxed

Results
D(E_F): 5.74 states/eV per cell
Space group: No. 221
Energy relative to the lowest polymorph listed for this composition: 2.980 eV/atom
M_tot: 1.5 μB/cell

Cell and atoms, written as POSCAR:
```
CsBIr3
1.0
-0.692 4.976 0.135
-4.523 -0.685 2.082
2.080 0.166 4.573
Ir Cs B
3 1 1
Direct
0.500 0.000 0.000 Ir
0.000 0.500 0.000 Ir
0.000 0.000 0.500 Ir
0.000 0.000 0.000 Cs
0.500 0.500 0.500 B
```

***

Compound: Na2Zn7In12
Source: Alexandria
Functional: GGA-PBE
Structure: relaxed

Results
Energy: -2.091 eV per atom
D(E_F): 9.75 states/eV per cell
Space group: No. 147
M_tot: 0.0 μB/cell

Cell and atoms, written as POSCAR:
```
Na2Zn7In12
1.0
4.474 0.000 0.000
0.000 9.896 -5.713
0.000 0.000 11.426
In Zn Na
12 7 2
Direct
0.762 0.855 0.115 In
0.253 0.621 0.061 In
0.747 0.560 0.621 In
0.238 0.115 0.259 In
0.238 0.741 0.855 In
0.253 0.939 0.560 In
0.238 0.145 0.885 In
0.747 0.061 0.440 In
0.747 0.379 0.939 In
0.253 0.440 0.379 In
0.762 0.885 0.741 In
0.762 0.259 0.145 In
0.743 0.583 0.877 Zn
0.257 0.707 0.583 Zn
0.743 0.123 0.707 Zn
0.257 0.877 0.293 Zn
0.257 0.417 0.123 Zn
0.500 0.000 0.000 Zn
0.743 0.293 0.417 Zn
0.245 0.333 0.667 Na
0.755 0.667 0.333 Na
```

***

Compound: PrY2Th3P6
Source: Alexandria
Functional: GGA-PBE
Structure: relaxed

Results
Energy: -7.612 eV per atom
D(E_F): 4.95 states/eV per cell
Space group: No. 12
M_tot: 0.0 μB/cell

Cell and atoms, written as POSCAR:
```
PrY2Th3P6
1.0
7.137 0.004 0.000
-3.564 6.184 0.000
-1.192 -2.063 6.679
P Th Y Pr
6 3 2 1
Direct
0.577 0.917 0.751 P
0.257 0.257 0.753 P
0.917 0.577 0.751 P
0.423 0.083 0.249 P
0.743 0.743 0.247 P
0.083 0.423 0.249 P
0.500 0.500 0.500 Th
0.835 0.165 0.500 Th
0.165 0.835 0.500 Th
0.333 0.667 0.000 Y
0.667 0.333 0.000 Y
0.000 0.000 0.000 Pr
```

***

Compound: Sc5Mn
Source: Alexandria
Functional: GGA-PBE
Structure: relaxed

Results
D(E_F): 7.93 states/eV per cell
Space group: No. 38
Energy relative to the lowest polymorph listed for this composition: 0.025 eV/atom
M_tot: 1.7 μB/cell

Cell and atoms, written as POSCAR:
```
Sc5Mn
1.0
-2.400 1.988 1.059
-4.946 -5.374 4.000
2.533 0.810 4.221
Sc Mn
5 1
Direct
0.548 0.904 0.500 Sc
0.660 0.681 0.000 Sc
0.344 0.311 0.000 Sc
0.222 0.555 0.500 Sc
0.891 0.219 0.500 Sc
0.002 0.997 0.000 Mn
```

***

Compound: CdTc2Ru
Source: Alexandria
Functional: GGA-PBE
Structure: relaxed

Results
Energy: -7.418 eV per atom
D(E_F): 4.57 states/eV per cell
Space group: No. 25
M_tot: 0.0 μB/cell

Cell and atoms, written as POSCAR:
```
CdTc2Ru
1.0
-0.662 1.643 -2.152
-1.153 -3.149 -2.050
-5.376 0.596 2.108
Tc Cd Ru
2 1 1
Direct
0.500 0.500 0.209 Tc
0.000 0.000 0.005 Tc
0.000 0.000 0.504 Cd
0.500 0.500 0.781 Ru
```

***

Compound: BaCdBr
Source: Alexandria
Functional: GGA-PBE
Structure: relaxed

Results
D(E_F): 2.03 states/eV per cell
Space group: No. 156
Energy relative to the lowest polymorph listed for this composition: 0.029 eV/atom
M_tot: 0.0 μB/cell

Cell and atoms, written as POSCAR:
```
BaCdBr
1.0
5.554 0.000 0.000
-2.777 4.810 0.000
0.000 0.000 4.688
Ba Br Cd
1 1 1
Direct
0.000 0.000 0.163 Ba
0.667 0.333 0.173 Br
0.333 0.667 0.665 Cd
```

***

Compound: RbNa2PuCl6
Source: Alexandria
Functional: GGA-PBE
Structure: relaxed

Results
Energy: -4.782 eV per atom
D(E_F): 9.71 states/eV per cell
Space group: No. 146
M_tot: 5.0 μB/cell

Cell and atoms, written as POSCAR:
```
RbNa2PuCl6
1.0
7.305 0.001 0.000
3.653 6.326 0.000
3.653 2.109 6.693
Cl Rb Na Pu
6 1 2 1
Direct
0.346 0.723 0.757 Cl
0.174 0.346 0.757 Cl
0.723 0.174 0.757 Cl
0.585 0.248 0.233 Cl
0.248 0.934 0.233 Cl
0.934 0.585 0.233 Cl
0.802 0.802 0.594 Rb
0.520 0.520 0.440 Na
0.006 0.006 0.981 Na
0.324 0.324 0.028 Pu
```

***

Compound: Ce2Pr3ThSe6
Source: Alexandria
Functional: GGA-PBE
Structure: relaxed

Results
Energy: -6.329 eV per atom
D(E_F): 16.33 states/eV per cell
Space group: No. 12
M_tot: 2.1 μB/cell

Cell and atoms, written as POSCAR:
```
Ce2Pr3ThSe6
1.0
4.227 0.000 0.000
0.000 8.486 0.277
-2.114 -2.471 8.903
Ce Se Pr Th
2 6 3 1
Direct
0.166 0.333 0.333 Ce
0.834 0.667 0.667 Ce
0.999 0.751 0.998 Se
0.001 0.249 0.002 Se
0.332 0.419 0.664 Se
0.666 0.087 0.333 Se
0.668 0.581 0.336 Se
0.334 0.913 0.667 Se
0.834 0.166 0.668 Pr
0.166 0.834 0.332 Pr
0.500 0.500 0.000 Pr
0.500 0.000 0.000 Th
```

***

Compound: HfTi4Sn4
Source: Alexandria
Functional: GGA-PBE
Structure: relaxed

Results
Energy: -6.449 eV per atom
D(E_F): 22.12 states/eV per cell
Space group: No. 86
M_tot: 2.0 μB/cell

Cell and atoms, written as POSCAR:
```
HfTi4Sn4
1.0
5.623 0.000 0.000
0.000 8.156 0.000
0.000 0.000 8.156
Ti Sn Hf
8 8 2
Direct
0.904 0.386 0.696 Ti
0.096 0.696 0.614 Ti
0.404 0.196 0.114 Ti
0.596 0.886 0.196 Ti
0.404 0.804 0.886 Ti
0.096 0.304 0.386 Ti
0.596 0.114 0.804 Ti
0.904 0.614 0.304 Ti
0.888 0.665 0.933 Sn
0.388 0.567 0.165 Sn
0.612 0.835 0.567 Sn
0.112 0.933 0.335 Sn
0.888 0.335 0.067 Sn
0.612 0.165 0.433 Sn
0.388 0.433 0.835 Sn
0.112 0.067 0.665 Sn
0.500 0.500 0.500 Hf
0.000 0.000 0.000 Hf
```

***

Compound: CdRuRh
Source: Alexandria
Functional: GGA-PBE
Structure: relaxed

Results
D(E_F): 3.43 states/eV per cell
Space group: No. 156
Energy relative to the lowest polymorph listed for this composition: 0.089 eV/atom
M_tot: 0.0 μB/cell

Cell and atoms, written as POSCAR:
```
CdRuRh
1.0
-0.934 -2.594 0.589
1.347 1.495 1.974
-6.021 2.645 2.107
Rh Ru Cd
1 1 1
Direct
0.667 0.333 0.351 Rh
0.333 0.667 0.648 Ru
0.000 0.000 0.001 Cd
```